Entry 1:
A relaxed structure of Ta4HgTe. Source: Alexandria, functional PBEsol.

```
Ta4HgTe
1.0
0.000 3.895 3.895
3.895 0.000 3.895
3.895 3.895 0.000
Ta Hg Te
4 1 1
direct
0.124 0.124 0.124
0.124 0.124 0.628
0.124 0.628 0.124
0.628 0.124 0.124
0.750 0.750 0.750
0.500 0.500 0.500
```

- total energy (eV/atom) = -8.522
- formation energy (no corrections) (meV per atom) = 527
- crystal system = cubic
- magnetic moment (μB/cell) = 0.00
- space group = No. 216

Entry 2:
A relaxed structure of TaTiZn2Hg. Source: Alexandria, functional PBEsol.

```
TaTiZn2Hg
1.0
4.576 0.000 0.000
0.000 4.576 0.000
0.000 0.000 4.876
Ta Ti Zn Hg
1 1 2 1
direct
0.000 0.000 0.000
0.500 0.500 0.500
0.000 0.500 0.500
0.500 0.000 0.500
0.500 0.500 0.000
```

- total energy (eV/atom) = -3.497
- crystal system = tetragonal
- formation enthalpy at 0 K (meV per atom) = 1424
- magnetic moment (μB/cell) = 1.02
- space group = No. 123

Entry 3:
A relaxed structure of TaTl2Hg. Source: Alexandria, functional PBEsol.

```
TaTl2Hg
1.0
-2.099 2.099 4.822
2.099 -2.099 4.822
2.099 2.099 -4.822
Ta Tl Hg
1 2 1
direct
0.000 0.000 0.000
0.250 0.750 0.500
0.750 0.250 0.500
0.500 0.500 0.000
```

- total energy (eV/atom) = -4.043
- crystal system = tetragonal
- formation enthalpy at 0 K (meV per atom) = 551
- magnetic moment (μB/cell) = 0.00
- space group = No. 139

Entry 4:
A relaxed structure of TaTl2Hg. Source: Alexandria, functional PBEsol.

```
TaTl2Hg
1.0
3.013 0.000 0.000
0.000 5.352 0.000
0.000 0.000 5.456
Ta Tl Hg
1 2 1
direct
0.000 0.000 0.000
0.000 0.500 0.500
0.500 0.500 0.000
0.500 0.000 0.500
```

- total energy (eV/atom) = -4.111
- crystal system = orthorhombic
- formation enthalpy at 0 K (meV per atom) = 483
- magnetic moment (μB/cell) = 0.00
- space group = No. 47

Entry 5:
A relaxed structure of TaHgW3. Source: Alexandria, functional PBEsol.

```
TaHgW3
1.0
4.788 0.000 0.000
0.000 4.788 0.000
0.000 0.000 4.788
Ta Hg W
1 1 3
direct
0.000 0.000 0.000
0.500 0.500 0.500
0.000 0.500 0.500
0.500 0.000 0.500
0.500 0.500 0.000
```

- total energy (eV/atom) = -7.781
- crystal system = cubic
- formation enthalpy at 0 K (meV per atom) = 3128
- magnetic moment (μB/cell) = 0.00
- space group = No. 221

Entry 6:
A relaxed structure of TaHg2W. Source: Alexandria, functional PBEsol.

```
TaHg2W
1.0
1.676 -2.366 0.000
1.676 2.366 0.000
0.000 0.000 9.368
Ta Hg W
1 2 1
direct
0.000 0.000 0.000
0.000 0.000 0.471
0.500 0.500 0.745
0.500 0.500 0.219
```

- total energy (eV/atom) = -6.554
- crystal system = orthorhombic
- formation enthalpy at 0 K (meV per atom) = 319
- magnetic moment (μB/cell) = 0.00
- space group = No. 35

Entry 7:
A relaxed structure of YTa2Hg. Source: Alexandria, functional PBEsol.

```
YTa2Hg
1.0
0.000 3.419 3.419
3.419 0.000 3.419
3.419 3.419 0.000
Y Ta Hg
1 2 1
direct
0.000 0.000 0.000
0.500 0.500 0.500
0.750 0.750 0.750
0.250 0.250 0.250
```

- total energy (eV/atom) = -7.862
- crystal system = cubic
- formation enthalpy at 0 K (meV per atom) = 261
- magnetic moment (μB/cell) = 0.00
- space group = No. 216

Entry 8:
A relaxed structure of YTaHg2. Source: Alexandria, functional PBEsol.

```
YTaHg2
1.0
1.627 0.939 9.599
-1.627 0.939 9.599
0.000 -1.878 9.599
Y Ta Hg
1 1 2
direct
0.000 0.000 0.000
0.751 0.751 0.751
0.245 0.245 0.245
0.496 0.496 0.496
```

- total energy (eV/atom) = -4.988
- crystal system = trigonal
- formation enthalpy at 0 K (meV per atom) = 139
- magnetic moment (μB/cell) = 0.00
- space group = No. 160

Entry 9:
A relaxed structure of YTa2Hg. Source: Alexandria, functional PBEsol.

```
YTa2Hg
1.0
3.053 0.000 0.000
0.000 5.253 0.000
-0.362 0.000 5.174
Y Ta Hg
1 2 1
direct
0.000 0.000 0.000
0.363 0.500 0.751
0.637 0.500 0.249
0.500 0.000 0.500
```

- total energy (eV/atom) = -7.847
- crystal system = monoclinic
- formation enthalpy at 0 K (meV per atom) = 276
- magnetic moment (μB/cell) = 0.00
- space group = No. 10

Entry 10:
A relaxed structure of YTaHg2. Source: Alexandria, functional PBEsol.

```
YTaHg2
1.0
-1.600 2.577 5.130
1.600 -2.577 5.130
1.600 2.577 -5.130
Y Ta Hg
1 1 2
direct
0.000 0.000 0.000
0.744 0.244 0.500
0.263 0.763 0.500
0.505 0.505 0.000
```

- total energy (eV/atom) = -5.040
- crystal system = orthorhombic
- formation enthalpy at 0 K (meV per atom) = 87
- magnetic moment (μB/cell) = 0.00
- space group = No. 44

Entry 11:
A relaxed structure of YTaHg3. Source: Alexandria, functional PBEsol.

```
YTaHg3
1.0
5.429 0.000 0.000
0.000 5.429 0.000
0.000 0.000 5.429
Y Ta Hg
1 1 3
direct
0.000 0.000 0.000
0.500 0.500 0.500
0.000 0.000 0.500
0.000 0.500 0.000
0.500 0.000 0.000
```

- total energy (eV/atom) = -2.655
- crystal system = cubic
- formation enthalpy at 0 K (meV per atom) = 1559
- magnetic moment (μB/cell) = 3.38
- space group = No. 221

Entry 12:
A relaxed structure of YTa2Hg. Source: Alexandria, functional PBEsol.

```
YTa2Hg
1.0
-2.173 2.173 4.236
2.173 -2.173 4.236
2.173 2.173 -4.236
Y Ta Hg
1 2 1
direct
0.000 0.000 0.000
0.250 0.750 0.500
0.500 0.500 0.000
0.750 0.250 0.500
```

- total energy (eV/atom) = -7.830
- crystal system = tetragonal
- formation enthalpy at 0 K (meV per atom) = 292
- magnetic moment (μB/cell) = 0.00
- space group = No. 119